[1]
A relaxed structure of SmB4Os4, computed with PBE.

extended XYZ file:
```
18
Lattice="7.5982 0.0000 0.0000 0.0000 7.5982 0.0000 0.0000 0.0000 4.0128" Properties=species:S:1:pos:R:3 pbc="T T T"
Os 0.8136 2.6883 2.4617
Os 4.6127 6.4874 3.5574
Os 2.6883 6.7846 1.5510
Os 6.4874 2.9855 0.4554
Os 2.9855 1.1108 3.5574
Os 6.7846 4.9099 2.4617
Os 4.9099 0.8136 1.5510
Os 1.1108 4.6127 0.4554
B 2.1355 1.2476 1.5578
B 5.4627 6.3506 1.5578
B 2.5515 5.9346 3.5642
B 1.6636 2.5515 0.4486
B 6.3506 2.1355 2.4549
B 5.9346 5.0467 0.4486
B 5.0467 1.6636 3.5642
B 1.2476 5.4627 2.4549
Sm 0.0000 0.0000 0.0000
Sm 3.7991 3.7991 2.0064
```

E_tot (eV for the cell shown): -159.62
SG: P4_2/n (86)
DFT formation energy (eV/atom): -0.385

=====

[2]
A relaxed structure of Ta2CdSb2, computed with PBE.

extended XYZ file:
```
10
Lattice="7.7010 0.0000 0.0000 0.0000 7.7010 0.0000 0.0000 0.0000 3.6210" Properties=species:S:1:pos:R:3 pbc="T T T"
Sb 5.0452 6.5063 1.8105
Sb 1.1947 5.0452 1.8105
Sb 2.6558 1.1947 1.8105
Sb 6.5063 2.6558 1.8105
Ta 4.8963 1.0458 0.0000
Ta 2.8047 6.6552 0.0000
Ta 1.0458 2.8047 0.0000
Ta 6.6552 4.8963 0.0000
Cd 3.8505 3.8505 0.0000
Cd 0.0000 0.0000 0.0000
```

E_tot (eV for the cell shown): -64.52
E_form (uncorrected) (eV/f.u.): 0.60
SG: P4/mbm (127)